No. 1
Material: BaTlGe2
Method: DFT, PBE
State: relaxed

Values from the calculation:
VASP energy, eV/atom: -3.3899
Total magnetization, Bohr magnetons per cell: 0.000
Energy relative to the lowest polymorph listed for this composition, meV per atom: 326
Energy of formation from the pure elements, eV/atom: -0.009

POSCAR file:
```
BaTlGe2
1.0
-1.9738 -4.6834 1.9012
-4.0883 0.0278 3.5679
-4.9332 -1.6788 -1.5133
Ba Ge Tl
1 2 1
Direct
0.0000 0.0000 0.0000
0.2500 0.2500 0.2500
0.7500 0.7500 0.7500
0.5000 0.5000 0.5000
```

No. 2
Material: BaTlGe2
Method: DFT, PBE
State: relaxed

Values from the calculation:
VASP energy, eV/atom: -3.7053
Total magnetization, Bohr magnetons per cell: 0.000
Energy relative to the lowest polymorph listed for this composition, meV per atom: 11
Energy of formation from the pure elements, eV/atom: -0.324

POSCAR file:
```
BaTlGe2
1.0
-4.4581 -1.0899 -1.8992
0.9748 -11.8052 4.4862
-6.5798 4.3726 12.9361
Ge Tl Ba
16 8 8
Direct
0.2500 0.2907 0.7911
0.2500 0.0414 0.3766
0.2500 0.4745 0.5277
0.7500 0.8049 0.8799
0.7500 0.7907 0.7089
0.2500 0.3049 0.6201
0.7500 0.9745 0.9723
0.2500 0.2093 0.2911
0.2500 0.0255 0.0277
0.2500 0.4586 0.8766
0.7500 0.5255 0.4723
0.7500 0.6951 0.3799
0.7500 0.9586 0.6234
0.7500 0.7093 0.2089
0.2500 0.1951 0.1201
0.7500 0.5414 0.1234
0.2500 0.4294 0.0666
0.7500 0.5706 0.9334
0.2500 0.0706 0.5666
0.2500 0.6899 0.7951
0.7500 0.9294 0.4334
0.7500 0.3101 0.2049
0.7500 0.1899 0.7049
0.2500 0.8101 0.2951
0.7500 0.2456 0.9537
0.7500 0.0120 0.2033
0.2500 0.5120 0.2967
0.2500 0.7456 0.5463
0.7500 0.2544 0.4537
0.2500 0.7544 0.0463
0.2500 0.9880 0.7967
0.7500 0.4880 0.7033
```

No. 3
Material: Ba3Tl7Ge2
Method: DFT, PBE
State: relaxed

Values from the calculation:
VASP energy, eV/atom: -2.8948
Total magnetization, Bohr magnetons per cell: 0.000
Energy of formation from the pure elements, eV/atom: -0.264

POSCAR file:
```
Ba3Tl7Ge2
1.0
4.7935 0.0000 0.0000
0.0000 5.0753 -0.8490
0.0000 0.0942 16.3483
Tl Ge Ba
7 2 3
Direct
0.5000 0.0818 0.1661
0.0000 0.0000 0.0000
0.0000 0.5846 0.1672
0.5000 0.9182 0.8339
0.5000 0.7259 0.4524
0.0000 0.4154 0.8328
0.5000 0.2741 0.5476
0.5000 0.6351 0.2770
0.5000 0.3649 0.7230
0.0000 0.1762 0.3520
0.0000 0.8238 0.6480
0.5000 0.5000 0.0000
```

Question: Among the records above, which one has the lowest VASP energy?
Answer: number 2

Question: Among the records above, which one has the lowest energy of formation from the pure elements?
Answer: number 2

Question: The lowest energy of formation from the pure elements belongs to which entry?
Answer: number 2